# 1
Compound: Pm8HoMg2
Source: the Alexandria database
Functional: PBE
Structure: optimized geometry

a = 8.9441 Å, b = 15.8429 Å, c = 5.7983 Å
α = 90.00°, β = 117.56°, γ = 90.00°
Space group C2/m (No. 12)
Symmetry-distinct sites (fractional):
Pm: 0.0000 0.2101 0.0000 [4 per cell]
Pm: 0.0900 0.5000 0.7943 [4 per cell]
Pm: 0.2105 0.1131 0.6394 [8 per cell]
Ho: 0.0000 0.0000 0.0000 [2 per cell]
Mg: 0.0000 0.3069 0.5000 [4 per cell]

Summary:
Excess energy over the best structure of this formula in the dataset ... 106 meV/atom
DOS at the Fermi energy ... 1.215 states/eV per atom
DFT total energy ... -4.05 eV per atom

# 2
Compound: PmHo3Mg
Source: the Alexandria database
Functional: PBE
Structure: optimized geometry

a = 12.9336 Å, b = 3.6746 Å, c = 12.7707 Å
α = 90.00°, β = 93.33°, γ = 90.00°
Space group C2/m (No. 12)
Symmetry-distinct sites (fractional):
Pm: 0.2344 0.0000 0.2592 [4 per cell]
Ho: 0.0363 0.0000 0.6870 [4 per cell]
Ho: 0.1337 0.5000 0.4770 [4 per cell]
Ho: 0.1503 0.0000 0.9413 [4 per cell]
Mg: 0.0559 0.5000 0.1234 [4 per cell]

Summary:
Excess energy over the best structure of this formula in the dataset ... 0 meV/atom
DOS at the Fermi energy ... 1.341 states/eV per atom
DFT total energy ... -4.03 eV per atom

Q: Which of these has the lowest excess energy over the best structure of this formula in the dataset?
A: PmHo3Mg